First-principles (PBE-GGA) data for LiLaScCo after structural relaxation, as listed in Alexandria.

Properties
**Final energy**: -20.275 eV/f.u.
**Crystal system**: cubic
**ΔE_f**: 0.001 eV per atom

abc: 6.8610 6.8610 6.8610
angles: 90.00 90.00 90.00
Space group F-43m (No. 216)
Asymmetric unit:
Li1 0.0000 0.0000 0.0000
La1 0.2500 0.2500 0.7500
Sc1 0.2500 0.2500 0.2500
Co1 0.0000 0.0000 0.5000